# 1
CeNd2HfAs4 | PBE | relaxed

abc: 4.132 7.154 7.178
angles: 109.21 90.00 90.00
Site moments in Bohr magnetons follow the coordinates.
Sites, in units of the cell vectors:
Ce: 0.500 0.500 0.000  0.49
Nd: 0.500 0.000 0.500  0.02
Nd: 0.000 0.500 0.500  0.01
Hf: 0.000 0.000 0.000  0.01
As: 0.500 0.232 0.228  0.00
As: 0.500 0.768 0.772  0.00
As: 0.000 0.243 0.765  -0.01
As: 0.000 0.757 0.235  -0.01

- SG = P2/m, No. 10
- energy of formation (meV/atom) = -1344

---

# 2
Dy4Al2Zn | PBE | relaxed

abc: 5.065 5.065 8.719
angles: 73.12 73.12 60.00
Sites, in units of the cell vectors:
Zn: 0.000 0.000 0.000
Al: 0.748 0.748 0.755
Al: 0.252 0.252 0.245
Dy: 0.873 0.873 0.381
Dy: 0.127 0.127 0.619
Dy: 0.622 0.622 0.135
Dy: 0.378 0.378 0.865

- SG = R-3m, No. 166
- energy of formation (meV/atom) = -240

---

Number 1: M_tot 0.628 μB/cell. Number 2: M_tot 0.000 μB/cell.